First-principles (GGA-PBE) data for KTlIr after structural relaxation, as listed in Alexandria.

D(E_F)   10.32 states/eV per cell
ΔE_f   404 kJ/mol of formula units
Distance to the lowest polymorph of the same formula   0.9623 eV/atom
M_tot   1.06 μB/cell

Geometry as POSCAR:
```
KTlIr
1.0
0.000 3.631 3.631
3.631 0.000 3.631
3.631 3.631 0.000
K Tl Ir
1 1 1
direct
0.000 0.000 0.000
0.750 0.750 0.750
0.250 0.250 0.250
```

First-principles (GGA-PBE) data for KTlIr after structural relaxation, as listed in Alexandria.

D(E_F)   1.63 states/eV per cell
ΔE_f   182 kJ/mol of formula units
Distance to the lowest polymorph of the same formula   0.1971 eV/atom
M_tot   0.00 μB/cell

Geometry as POSCAR:
```
KTlIr
1.0
3.202 0.000 0.000
-1.601 2.773 0.000
0.000 0.000 7.912
K Tl Ir
1 1 1
direct
0.000 0.000 0.000
0.667 0.333 0.393
0.333 0.667 0.669
```

ΔE_f of number 2 (KTlIr)?
182 kJ/mol of formula units